# 1
This record from Alexandria describes a geometry-optimized Ti2NbSe structure. The functional is GGA-PBE.

a b c (Å): 3.253 3.253 8.052
angles (deg): 78.35 78.35 60.00
Fractional positions:
Nb1 0.000 0.000 0.000
Se1 0.500 0.500 0.500
Ti1 0.243 0.243 0.270
Ti2 0.757 0.757 0.730

calculated density	6.2	g/cm³
electronic total energy	-7.698	eV/atom
D(E_F)	5.59	states/eV/f.u.
SG	R-3m

# 2
This record from Alexandria describes a geometry-optimized TiNbSe structure. The functional is GGA-PBE.

a b c (Å): 3.479 6.245 10.625
angles (deg): 90.00 90.00 90.00
Fractional positions:
Se1 0.250 0.559 0.374
Nb1 0.250 0.173 0.494
Se2 0.250 0.941 0.874
Se3 0.750 0.441 0.626
Nb2 0.250 0.327 0.994
Ti1 0.750 0.428 0.221
Nb3 0.750 0.827 0.506
Ti2 0.750 0.072 0.721
Ti3 0.250 0.572 0.779
Ti4 0.250 0.928 0.279
Se4 0.750 0.059 0.126
Nb4 0.750 0.673 0.006

calculated density	6.3	g/cm³
electronic total energy	-7.437	eV/atom
D(E_F)	3.37	states/eV/f.u.
SG	Pnma

# 3
This record from Alexandria describes a geometry-optimized TiNb2Se structure. The functional is GGA-PBE.

a b c (Å): 3.875 3.875 10.200
angles (deg): 79.05 79.05 90.00
Fractional positions:
Se1 0.750 0.250 0.500
Ti1 0.250 0.750 0.500
Nb1 0.120 0.625 0.250
Nb2 0.630 0.125 0.250
Nb3 0.375 0.370 0.750
Ti2 0.500 0.500 0.000
Se2 0.000 0.000 0.000
Nb4 0.875 0.880 0.750

calculated density	7.0	g/cm³
electronic total energy	-7.813	eV/atom
D(E_F)	3.46	states/eV/f.u.
SG	I-42d

# 4
This record from Alexandria describes a geometry-optimized TiNb3Se6 structure. The functional is GGA-PBE.

a b c (Å): 7.615 7.615 7.615
angles (deg): 85.97 85.97 85.97
Fractional positions:
Nb1 0.097 0.229 0.629
Nb2 0.629 0.097 0.229
Nb3 0.229 0.629 0.097
Se1 0.948 0.102 0.324
Se2 0.821 0.455 0.574
Se3 0.102 0.324 0.948
Nb4 0.903 0.771 0.371
Se4 0.426 0.179 0.545
Se5 0.545 0.426 0.179
Se6 0.324 0.948 0.102
Ti1 0.000 0.000 0.000
Se7 0.455 0.574 0.821
Se8 0.052 0.898 0.676
Se9 0.676 0.052 0.898
Se10 0.574 0.821 0.455
Se11 0.898 0.676 0.052
Ti2 0.500 0.500 0.500
Nb5 0.771 0.371 0.903
Se12 0.179 0.545 0.426
Nb6 0.371 0.903 0.771

energy above the most stable polymorph in this dataset	0.3685	eV per atom
calculated density	6.1	g/cm³
electronic total energy	-6.524	eV/atom
D(E_F)	8.25	states/eV/f.u.
SG	R-3

# 5
This record from Alexandria describes a geometry-optimized Ti3NbSe8 structure. The functional is GGA-PBE.

a b c (Å): 7.036 7.030 8.031
angles (deg): 116.46 90.00 120.03
Fractional positions:
Se1 0.744 0.488 0.227
Ti1 0.500 0.500 0.000
Nb1 0.000 0.000 0.000
Ti2 0.500 0.000 0.000
Se2 0.256 0.512 0.773
Se3 0.248 0.988 0.232
Se4 0.752 0.012 0.768
Se5 0.260 0.012 0.768
Se6 0.740 0.988 0.232
Se7 0.752 0.504 0.768
Ti3 0.000 0.500 0.000
Se8 0.248 0.496 0.232

calculated density	4.9	g/cm³
electronic total energy	-6.181	eV/atom
D(E_F)	2.38	states/eV/f.u.
SG	C2/m

# 6
This record from Alexandria describes a geometry-optimized Ti2NbSe2 structure. The functional is GGA-PBE.

a b c (Å): 7.044 7.044 3.368
angles (deg): 90.00 90.00 90.00
Fractional positions:
Nb1 0.000 0.000 0.000
Se1 0.652 0.152 0.000
Nb2 0.500 0.500 0.000
Se2 0.848 0.652 0.000
Ti1 0.351 0.149 0.500
Se3 0.152 0.348 0.000
Ti2 0.649 0.851 0.500
Ti3 0.851 0.351 0.500
Ti4 0.149 0.649 0.500
Se4 0.348 0.848 0.000

calculated density	6.9	g/cm³
electronic total energy	-7.214	eV/atom
D(E_F)	5.12	states/eV/f.u.
SG	P4/mbm

# 7
This record from Alexandria describes a geometry-optimized TiNbSe3 structure. The functional is GGA-PBE.

a b c (Å): 3.389 6.699 11.808
angles (deg): 90.00 90.00 104.70
Fractional positions:
Ti1 0.990 0.484 0.250
Se1 0.134 0.768 0.904
Se2 0.134 0.768 0.596
Nb1 0.294 0.088 0.250
Se3 0.866 0.232 0.096
Se4 0.866 0.232 0.404
Se5 0.369 0.235 0.750
Nb2 0.706 0.912 0.750
Ti2 0.010 0.516 0.750
Se6 0.631 0.765 0.250

energy above the most stable polymorph in this dataset	0.0000	eV per atom
calculated density	4.8	g/cm³
electronic total energy	-6.426	eV/atom
D(E_F)	3.40	states/eV/f.u.
SG	P2_1/m

# 8
This record from Alexandria describes a geometry-optimized TiNb2Se5 structure. The functional is GGA-PBE.

a b c (Å): 4.664 6.996 7.200
angles (deg): 83.80 71.10 70.53
Fractional positions:
Se1 0.464 0.252 0.819
Se2 0.536 0.748 0.181
Nb1 0.189 0.500 0.122
Se3 0.217 0.748 0.819
Nb2 0.811 0.500 0.878
Ti1 0.500 0.500 0.500
Se4 0.783 0.252 0.181
Se5 0.000 0.500 0.500

energy above the most stable polymorph in this dataset	0.0357	eV per atom
calculated density	5.0	g/cm³
electronic total energy	-6.407	eV/atom
D(E_F)	3.96	states/eV/f.u.
SG	Fmmm

# 9
This record from Alexandria describes a geometry-optimized TiNb3Se6 structure. The functional is GGA-PBE.

a b c (Å): 6.053 6.053 13.098
angles (deg): 90.00 90.00 120.00
Fractional positions:
Se1 0.670 0.004 0.371
Nb1 0.667 0.333 0.500
Se2 0.330 0.996 0.871
Se3 0.667 0.670 0.871
Se4 0.996 0.667 0.371
Nb2 0.333 0.667 0.500
Se5 0.004 0.333 0.871
Se6 0.996 0.330 0.129
Se7 0.333 0.004 0.129
Ti1 0.667 0.333 0.750
Se8 0.330 0.333 0.629
Se9 0.333 0.330 0.371
Nb3 0.333 0.667 0.000
Ti2 0.333 0.667 0.250
Nb4 0.000 0.000 0.000
Nb5 0.000 0.000 0.500
Se10 0.670 0.667 0.129
Nb6 0.667 0.333 0.000
Se11 0.004 0.670 0.629
Se12 0.667 0.996 0.629

energy above the most stable polymorph in this dataset	0.0000	eV per atom
calculated density	6.4	g/cm³
electronic total energy	-6.893	eV/atom
D(E_F)	4.96	states/eV/f.u.
SG	P6_322

# 10
This record from Alexandria describes a geometry-optimized Ti2NbSe structure. The functional is GGA-PBE.

a b c (Å): 7.558 7.558 5.933
angles (deg): 50.43 50.43 90.00
Fractional positions:
Ti1 0.375 0.424 0.750
Se1 0.500 0.500 0.000
Ti2 0.174 0.625 0.250
Nb1 0.000 0.000 0.000
Ti3 0.576 0.125 0.250
Se2 0.250 0.750 0.500
Ti4 0.875 0.826 0.750
Nb2 0.750 0.250 0.500

calculated density	6.0	g/cm³
electronic total energy	-7.337	eV/atom
D(E_F)	2.93	states/eV/f.u.
SG	I-42d

# 11
This record from Alexandria describes a geometry-optimized TiNbSe3 structure. The functional is GGA-PBE.

a b c (Å): 4.886 4.886 4.886
angles (deg): 90.00 90.00 90.00
Fractional positions:
Ti1 0.000 0.000 0.000
Se1 0.000 0.000 0.500
Nb1 0.500 0.500 0.500
Se2 0.500 0.000 0.000
Se3 0.000 0.500 0.000

energy above the most stable polymorph in this dataset	0.8070	eV per atom
calculated density	5.4	g/cm³
electronic total energy	-5.619	eV/atom
D(E_F)	4.81	states/eV/f.u.
SG	Pm-3m

# 12
This record from Alexandria describes a geometry-optimized TiNbSe6 structure. The functional is GGA-PBE.

a b c (Å): 6.429 6.483 7.434
angles (deg): 55.37 55.15 58.08
Fractional positions:
Nb1 0.500 0.500 0.500
Se1 0.046 0.443 0.756
Se2 0.336 0.880 0.160
Ti1 0.000 0.000 0.000
Se3 0.954 0.557 0.244
Se4 0.618 0.163 0.338
Se5 0.382 0.837 0.662
Se6 0.664 0.120 0.840

calculated density	5.1	g/cm³
electronic total energy	-5.383	eV/atom
D(E_F)	4.11	states/eV/f.u.
SG	P-1

# 13
This record from Alexandria describes a geometry-optimized TiNb2Tl2Se6 structure. The functional is GGA-PBE.

a b c (Å): 6.306 6.306 8.512
angles (deg): 98.03 98.03 121.30
Fractional positions:
Nb1 0.310 0.690 0.500
Se1 0.910 0.591 0.296
Nb2 0.690 0.310 0.500
Se2 0.090 0.409 0.704
Ti1 0.000 0.000 0.500
Tl1 0.843 0.157 0.000
Se3 0.591 0.910 0.296
Se4 0.731 0.731 0.679
Tl2 0.157 0.843 0.000
Se5 0.269 0.269 0.321
Se6 0.409 0.090 0.704

calculated density	6.7	g/cm³
electronic total energy	-5.646	eV/atom
D(E_F)	6.78	states/eV/f.u.
SG	C2/m

# 14
This record from Alexandria describes a geometry-optimized TiNbWSe2 structure. The functional is GGA-PBE.

a b c (Å): 4.929 4.783 4.929
angles (deg): 90.00 90.00 90.00
Fractional positions:
Se1 0.500 0.000 0.000
Ti1 0.000 0.500 0.000
Nb1 0.000 0.000 0.000
W1 0.500 0.500 0.500
Se2 0.000 0.000 0.500

calculated density	6.9	g/cm³
electronic total energy	-6.315	eV/atom
D(E_F)	5.14	states/eV/f.u.
SG	P4/mmm

# 15
This record from Alexandria describes a geometry-optimized NbTl2Se8 structure. The functional is GGA-PBE.

a b c (Å): 6.437 7.034 9.211
angles (deg): 57.20 71.78 91.83
Fractional positions:
Se1 0.948 0.014 0.310
Se2 0.884 0.646 0.356
Tl1 0.475 0.197 0.251
Se3 0.116 0.354 0.644
Se4 0.052 0.986 0.690
Se5 0.441 0.143 0.879
Tl2 0.525 0.803 0.749
Nb1 0.000 0.000 0.000
Se6 0.559 0.857 0.121
Se7 0.047 0.550 0.099
Se8 0.953 0.450 0.901

calculated density	5.8	g/cm³
electronic total energy	-4.115	eV/atom
D(E_F)	4.15	states/eV/f.u.
SG	P-1

# 16
This record from Alexandria describes a geometry-optimized NbTlSe4 structure. The functional is GGA-PBE.

a b c (Å): 5.876 7.761 8.347
angles (deg): 117.70 88.77 90.00
Fractional positions:
Nb1 0.734 0.473 0.947
Se1 0.000 0.768 0.000
Se2 0.760 0.302 0.604
Tl1 0.755 0.780 0.561
Se3 0.608 0.389 0.204
Se4 0.608 0.816 0.204
Tl2 0.245 0.220 0.439
Nb2 0.266 0.527 0.053
Se5 0.392 0.184 0.796
Se6 0.392 0.611 0.796
Se7 0.000 0.232 0.000
Se8 0.240 0.698 0.396

energy above the most stable polymorph in this dataset	0.0916	eV per atom
calculated density	6.0	g/cm³
electronic total energy	-4.792	eV/atom
D(E_F)	3.24	states/eV/f.u.
SG	C2/m

# 17
This record from Alexandria describes a geometry-optimized Nb6TlSe8 structure. The functional is GGA-PBE.

a b c (Å): 10.205 10.205 3.492
angles (deg): 90.00 90.00 120.00
Fractional positions:
Se1 0.939 0.658 0.753
Se2 0.719 0.061 0.753
Se3 0.667 0.333 0.249
Tl1 0.000 0.000 0.500
Se4 0.281 0.939 0.247
Se5 0.342 0.281 0.753
Nb1 0.487 0.106 0.749
Nb2 0.381 0.487 0.251
Nb3 0.619 0.513 0.749
Se6 0.333 0.667 0.751
Se7 0.658 0.719 0.247
Nb4 0.894 0.381 0.749
Nb5 0.106 0.619 0.251
Nb6 0.513 0.894 0.251
Se8 0.061 0.342 0.247

calculated density	7.3	g/cm³
electronic total energy	-6.867	eV/atom
D(E_F)	7.04	states/eV/f.u.
SG	P-3

# 18
This record from Alexandria describes a geometry-optimized NbTl7Se6 structure. The functional is GGA-PBE.

a b c (Å): 8.025 12.149 12.149
angles (deg): 69.93 70.71 70.71
Fractional positions:
Se1 0.486 0.174 0.826
Tl1 0.077 0.315 0.908
Nb1 0.750 0.250 0.250
Se2 0.014 0.674 0.326
Tl2 0.752 0.525 0.475
Se3 0.862 0.420 0.230
Tl3 0.299 0.092 0.685
Se4 0.638 0.270 0.080
Tl4 0.748 0.025 0.975
Nb2 0.250 0.750 0.750
Se5 0.988 0.920 0.730
Tl5 0.201 0.815 0.408
Tl6 0.701 0.908 0.315
Tl7 0.923 0.685 0.092
Se6 0.138 0.580 0.770
Tl8 0.750 0.750 0.750
Tl9 0.250 0.250 0.250
Se7 0.986 0.326 0.674
Se8 0.514 0.826 0.174
Tl10 0.577 0.408 0.815
Se9 0.488 0.230 0.420
Se10 0.362 0.730 0.920
Tl11 0.252 0.975 0.025
Tl12 0.248 0.475 0.525
Se11 0.512 0.770 0.580
Tl13 0.799 0.185 0.592
Se12 0.012 0.080 0.270
Tl14 0.423 0.592 0.185

calculated density	6.5	g/cm³
electronic total energy	-3.855	eV/atom
SG	Ibam

# 19
This record from Alexandria describes a geometry-optimized Nb2TlSe4 structure. The functional is GGA-PBE.

a b c (Å): 4.093 6.563 13.044
angles (deg): 90.00 90.00 108.17
Fractional positions:
Se1 0.244 0.487 0.899
Se2 0.069 0.138 0.250
Se3 0.756 0.513 0.399
Se4 0.931 0.862 0.750
Se5 0.756 0.513 0.101
Se6 0.500 0.000 0.000
Se7 0.244 0.487 0.601
Nb1 0.887 0.773 0.941
Tl1 0.372 0.745 0.250
Se8 0.500 0.000 0.500
Tl2 0.628 0.255 0.750
Nb2 0.113 0.227 0.441
Nb3 0.113 0.227 0.059
Nb4 0.887 0.773 0.559

calculated density	7.0	g/cm³
electronic total energy	-5.743	eV/atom
D(E_F)	3.32	states/eV/f.u.
SG	Cmcm

# 20
This record from Alexandria describes a geometry-optimized NbTl4Se5 structure. The functional is GGA-PBE.

a b c (Å): 6.436 7.579 7.579
angles (deg): 79.61 64.87 64.87
Fractional positions:
Nb1 0.085 0.000 0.000
Se1 0.760 0.151 0.335
Se2 0.461 0.000 0.000
Tl1 0.588 0.590 0.211
Se3 0.246 0.849 0.665
Tl2 0.798 0.789 0.590
Tl3 0.388 0.410 0.789
Se4 0.095 0.665 0.151
Tl4 0.178 0.211 0.410
Se5 0.911 0.335 0.849

calculated density	7.2	g/cm³
electronic total energy	-4.180	eV/atom
D(E_F)	6.45	states/eV/f.u.
SG	I4